# CaPbSe3 | Alexandria | PBE-GGA | optimized geometry
# - Energy: -3.563 eV/atom
# - Size of the total moment: 0.00 μB/cell
# - Uncorrected formation energy: -0.331 eV/atom
# - D(E_F): 0.685 states/eV/atom
data_CaPbSe3
_chemical_formula_sum 'Ca1 Pb1 Se3'
_space_group_name_H-M_alt 'P 1'
_space_group_IT_number 1
_cell_length_a 5.422
_cell_length_b 5.422
_cell_length_c 5.422
_cell_angle_alpha 90.00
_cell_angle_beta 90.00
_cell_angle_gamma 90.00
loop_
_space_group_symop_operation_xyz
'x,y,z'
loop_
_atom_site_label
_atom_site_type_symbol
_atom_site_fract_x
_atom_site_fract_y
_atom_site_fract_z
Pb1 Pb 0.000 0.000 0.000
Ca1 Ca 0.500 0.500 0.500
Se1 Se 0.000 0.500 0.000
Se2 Se 0.000 0.000 0.500
Se3 Se 0.500 0.000 0.000